# 1
Material: DyEr4Hg7
Method: DFT, PBE-GGA
State: optimized geometry

```
data_DyEr4Hg7
_chemical_formula_sum 'Dy2 Er8 Hg14'
_cell_length_a 12.619
_cell_length_b 5.487
_cell_length_c 10.916
_cell_angle_alpha 90.00
_cell_angle_beta 122.28
_cell_angle_gamma 90.00
_symmetry_space_group_name_H-M 'C 1 2/m 1'
_symmetry_Int_Tables_number 12
loop_
_symmetry_equiv_pos_as_xyz
'x,y,z'
'-x,-y,-z'
'-x,y,-z'
'x,-y,z'
'x+1/2,y+1/2,z'
'-x+1/2,-y+1/2,-z'
'-x+1/2,y+1/2,-z'
'x+1/2,-y+1/2,z'
loop_
_atom_site_label
_atom_site_type_symbol
_atom_site_fract_x
_atom_site_fract_y
_atom_site_fract_z
_atom_site_occupancy
Dy1 Dy 0.000 0.000 0.000 1
Er1 Er 0.082 0.500 0.776 1
Er2 Er 0.234 0.500 0.322 1
Hg1 Hg 0.000 0.500 0.000 1
Hg2 Hg 0.071 0.000 0.339 1
Hg3 Hg 0.141 0.500 0.540 1
Hg4 Hg 0.206 0.000 0.914 1
```

Calculated values
- uncorrected energy (hartree per atom) = -0.0874
- calculated density (Mg/m³) = 11.62

***

# 2
Material: Ac3Nd4Er
Method: DFT, PBE-GGA
State: optimized geometry

```
data_Ac3Nd4Er
_chemical_formula_sum 'Ac6 Nd8 Er2'
_cell_length_a 5.353
_cell_length_b 10.664
_cell_length_c 10.666
_cell_angle_alpha 90.00
_cell_angle_beta 90.00
_cell_angle_gamma 90.00
_symmetry_space_group_name_H-M 'P m m n'
_symmetry_Int_Tables_number 59
loop_
_symmetry_equiv_pos_as_xyz
'x,y,z'
'-x,-y,-z'
'-x+1/2,-y+1/2,z'
'x+1/2,y+1/2,-z'
'x+1/2,-y,-z'
'-x+1/2,y,z'
'-x,y+1/2,-z'
'x,-y+1/2,z'
loop_
_atom_site_label
_atom_site_type_symbol
_atom_site_fract_x
_atom_site_fract_y
_atom_site_fract_z
_atom_site_occupancy
Ac1 Ac 0.250 0.005 0.131 1
Ac2 Ac 0.250 0.250 0.869 1
Nd1 Nd 0.250 0.250 0.379 1
Nd2 Nd 0.250 0.504 0.619 1
Nd3 Nd 0.250 0.750 0.384 1
Er1 Er 0.250 0.750 0.864 1
```

Calculated values
- uncorrected energy (hartree per atom) = -0.1637
- calculated density (Mg/m³) = 7.77

***

# 3
Material: La2Ta
Method: DFT, PBE-GGA
State: optimized geometry

```
data_La2Ta
_chemical_formula_sum 'La4 Ta2'
_cell_length_a 3.4701
_cell_length_b 3.4701
_cell_length_c 16.7376
_cell_angle_alpha 90.00
_cell_angle_beta 90.00
_cell_angle_gamma 120.00
_symmetry_space_group_name_H-M 'P -3 m 1'
_symmetry_Int_Tables_number 164
_symmetry_space_group_name_Hall '-P 3 2"'
loop_
_atom_site_label
_atom_site_type_symbol
_atom_site_fract_x
_atom_site_fract_y
_atom_site_fract_z
_atom_site_occupancy
La1 La 0.3333 0.6667 0.0916 1
La2 La 0.3333 0.6667 0.7085 1
Ta1 Ta 0.3333 0.6667 0.4441 1
```

Calculated values
- uncorrected energy (hartree per atom) = -0.2523
- E above lowest polymorph (kJ/mol of formula units) = 27
- calculated density (Mg/m³) = 8.73

***

- The highest uncorrected energy belongs to which entry?
  DyEr4Hg7

***

- calculated density of number 2 (Ac3Nd4Er)?
  7.77 Mg/m³

***

- Look up the calculated density of the third one.
  8.73 Mg/m³

***

- Among the records above, which one has the highest uncorrected energy?
  DyEr4Hg7